--- a ---
# CoMo2Cl | the Alexandria database | SCAN | single point on PBEsol structure
# SG: P4mm
# volume: 14.24 Å³/atom
data_CoMo2Cl
_cell_length_a 3.033
_cell_length_b 3.033
_cell_length_c 6.192
_cell_angle_alpha 90.00
_cell_angle_beta 90.00
_cell_angle_gamma 90.00
_symmetry_space_group_name_H-M 'P 1'
_symmetry_Int_Tables_number 1
_symmetry_space_group_name_Hall 'P 1'
loop_
_atom_site_label
_atom_site_type_symbol
_atom_site_fract_x
_atom_site_fract_y
_atom_site_fract_z
Mo1 Mo 0.000 0.000 0.975
Mo2 Mo 0.500 0.500 0.233
Co1 Co 0.500 0.500 0.778
Cl1 Cl 0.000 0.000 0.514



--- b ---
# CoMo2Cl | the Alexandria database | SCAN | single point on PBEsol structure
# SG: Pmmm
# volume: 14.06 Å³/atom
data_CoMo2Cl
_cell_length_a 2.892
_cell_length_b 4.403
_cell_length_c 4.417
_cell_angle_alpha 90.00
_cell_angle_beta 90.00
_cell_angle_gamma 90.00
_symmetry_space_group_name_H-M 'P 1'
_symmetry_Int_Tables_number 1
_symmetry_space_group_name_Hall 'P 1'
loop_
_atom_site_label
_atom_site_type_symbol
_atom_site_fract_x
_atom_site_fract_y
_atom_site_fract_z
Mo1 Mo 0.000 0.000 0.000
Mo2 Mo 0.500 0.000 0.500
Co1 Co 0.000 0.500 0.500
Cl1 Cl 0.500 0.500 0.000



Which is most stable, and by how much? a, by 375 meV per atom.